No. 1
Sc2HgTe PBE-GGA optimized geometry; uncorrected formation energy = -454 meV per atom; calculated density = 6.86 g/cm³; E = -35.8 eV per cell; ΔE to the lowest computed polymorph = 0.98 eV per formula unit
1.0
7.751 0.000 0.000
0.000 7.751 0.000
3.875 3.875 3.371
Sc Te Hg
4 2 2
direct
0.627 0.125 0.250 Sc
0.123 0.625 0.250 Sc
0.375 0.373 0.750 Sc
0.875 0.877 0.750 Sc
0.500 0.500 0.000 Te
0.250 0.750 0.500 Te
0.000 0.000 0.000 Hg
0.750 0.250 0.500 Hg



No. 2
ScHgTe PBE-GGA optimized geometry; uncorrected formation energy = -534 meV per atom; calculated density = 7.03 g/cm³; E = -11.4 eV per cell; ΔE to the lowest computed polymorph = 0.00 eV per formula unit
1.0
4.016 0.000 0.000
-2.008 3.478 0.000
0.000 0.000 6.312
Hg Sc Te
1 1 1
direct
0.000 0.000 0.043 Hg
0.667 0.333 0.349 Sc
0.333 0.667 0.608 Te



No. 3
Sc2HgTe2 PBE-GGA optimized geometry; uncorrected formation energy = -573 meV per atom; calculated density = 5.88 g/cm³; E = -22.1 eV per cell; ΔE to the lowest computed polymorph = 1.28 eV per formula unit
1.0
5.725 0.000 0.000
0.000 5.725 0.000
2.862 2.862 4.701
Sc Te Hg
2 2 1
direct
0.313 0.313 0.375 Sc
0.687 0.687 0.625 Sc
0.750 0.250 0.500 Te
0.250 0.750 0.500 Te
0.000 0.000 0.000 Hg



No. 4
Sc2HgTe PBE-GGA optimized geometry; uncorrected formation energy = -523 meV per atom; calculated density = 7.57 g/cm³; E = -18.2 eV per cell; ΔE to the lowest computed polymorph = 0.70 eV per formula unit
1.0
5.292 0.000 0.000
1.064 5.184 0.000
-3.178 -2.592 3.345
Hg Sc Te
1 2 1
direct
0.750 0.250 0.500 Hg
0.000 0.000 0.000 Sc
0.500 0.500 0.000 Sc
0.250 0.750 0.500 Te